The following is a DFT calculation (PBE) of a relaxed KRb2SeO crystal.

The space group is P4/mmm (No. 123) and the conventional cell measures 5.4453, 5.4453 and 5.3598 Å, with angles of 90.00, 90.00 and 90.00 degrees. The asymmetric unit holds K at (0.0000, 0.0000, 0.0000), Rb at (0.0000, 0.5000, 0.5000), Se at (0.5000, 0.5000, 0.0000) and O at (0.0000, 0.0000, 0.5000).

The calculation puts the total energy at -3.211 eV per atom. As for the crystal system: tetragonal. For the uncorrected formation energy, the calculation gives -0.9158 eV/atom.